# CaCSe3

CaCSe3 at its PBEsol-relaxed geometry (meta-GGA SCAN, Alexandria). Values from VASP.

```
&SYSTEM
  ibrav = 0, nat = 5, ntyp = 3
/
ATOMIC_SPECIES
Ca 40.08 Ca.upf
C 12.01 C.upf
Se 78.96 Se.upf
ATOMIC_POSITIONS crystal
Ca 0.000 0.000 0.000
C 0.500 0.500 0.500
Se 0.000 0.500 0.000
Se 0.000 0.000 0.500
Se 0.500 0.000 0.000
CELL_PARAMETERS angstrom
5.453 0.000 0.000
0.000 5.453 0.000
0.000 0.000 5.453
```

Calculated values
VASP energy, eV per atom: -14.60
Calculated volume, Å³ per atom: 32.42
Theoretical density, g/cm3: 3.0


# Ca3SiC

Ca3SiC at its PBEsol-relaxed geometry (meta-GGA SCAN, Alexandria). Values from VASP.

```
&SYSTEM
  ibrav = 0, nat = 5, ntyp = 3
/
ATOMIC_SPECIES
C 12.01 C.upf
Ca 40.08 Ca.upf
Si 28.09 Si.upf
ATOMIC_POSITIONS crystal
C 0.500 0.500 0.500
Ca 0.000 0.500 0.000
Ca 0.000 0.000 0.500
Ca 0.500 0.000 0.000
Si 0.000 0.000 0.000
CELL_PARAMETERS angstrom
5.510 0.000 0.000
0.000 5.510 0.000
0.000 0.000 5.510
```

Calculated values
VASP energy, eV per atom: -8.88
Calculated volume, Å³ per atom: 33.46
Theoretical density, g/cm3: 1.6


# CaSnC3

CaSnC3 at its PBEsol-relaxed geometry (meta-GGA SCAN, Alexandria). Values from VASP.

```
&SYSTEM
  ibrav = 0, nat = 5, ntyp = 3
/
ATOMIC_SPECIES
C 12.01 C.upf
Ca 40.08 Ca.upf
Sn 118.71 Sn.upf
ATOMIC_POSITIONS crystal
C 0.000 0.500 0.000
C 0.000 0.000 0.500
C 0.500 0.000 0.000
Ca 0.500 0.500 0.500
Sn 0.000 0.000 0.000
CELL_PARAMETERS angstrom
-1.258 -1.149 3.943
-3.497 -1.862 -1.659
2.153 -3.696 -0.390
```

Calculated values
VASP energy, eV per atom: -13.02
Calculated volume, Å³ per atom: 15.85
Formation energy from the elements, eV/atom: 2.1571
Theoretical density, g/cm3: 4.1


# Ca2SnC

Ca2SnC at its PBEsol-relaxed geometry (meta-GGA SCAN, Alexandria). Values from VASP.

```
&SYSTEM
  ibrav = 0, nat = 4, ntyp = 3
/
ATOMIC_SPECIES
C 12.01 C.upf
Ca 40.08 Ca.upf
Sn 118.71 Sn.upf
ATOMIC_POSITIONS crystal
C 0.000 0.000 0.000
Ca 0.250 0.250 0.250
Ca 0.750 0.750 0.750
Sn 0.500 0.500 0.500
CELL_PARAMETERS angstrom
-2.811 -1.734 3.752
2.100 -2.664 3.672
0.447 1.967 4.574
```

Calculated values
VASP energy, eV per atom: -15.79
Calculated volume, Å³ per atom: 22.09
Formation energy from the elements, eV/atom: 0.5504
Theoretical density, g/cm3: 4.0


# SrCaC2

SrCaC2 at its PBEsol-relaxed geometry (meta-GGA SCAN, Alexandria). Values from VASP.

```
&SYSTEM
  ibrav = 0, nat = 4, ntyp = 3
/
ATOMIC_SPECIES
Sr 87.62 Sr.upf
Ca 40.08 Ca.upf
C 12.01 C.upf
ATOMIC_POSITIONS crystal
Sr 0.500 0.500 0.500
Ca 0.000 0.000 0.000
C 0.250 0.250 0.250
C 0.750 0.750 0.750
CELL_PARAMETERS angstrom
4.514 0.000 0.000
2.257 3.910 0.000
2.257 1.303 3.686
```

Calculated values
VASP energy, eV per atom: -11.85
Calculated volume, Å³ per atom: 16.26
Formation energy from the elements, eV/atom: 1.1872
Theoretical density, g/cm3: 3.9


# Sr2CaC

Sr2CaC at its PBEsol-relaxed geometry (meta-GGA SCAN, Alexandria). Values from VASP.

```
&SYSTEM
  ibrav = 0, nat = 8, ntyp = 3
/
ATOMIC_SPECIES
Sr 87.62 Sr.upf
Ca 40.08 Ca.upf
C 12.01 C.upf
ATOMIC_POSITIONS crystal
Sr 0.455 0.170 0.670
Sr 0.295 0.830 0.330
Sr 0.375 0.330 0.170
Sr 0.875 0.670 0.830
Ca 0.000 0.000 0.000
Ca 0.750 0.500 0.500
C 0.500 0.000 0.000
C 0.250 0.500 0.500
CELL_PARAMETERS angstrom
4.997 0.000 0.000
2.498 7.293 0.000
2.498 0.000 7.293
```

Calculated values
VASP energy, eV per atom: -15.61
Calculated volume, Å³ per atom: 33.22
Formation energy from the elements, eV/atom: 0.4665
Theoretical density, g/cm3: 2.8


# SrCaZn2C

SrCaZn2C at its PBEsol-relaxed geometry (meta-GGA SCAN, Alexandria). Values from VASP.

```
&SYSTEM
  ibrav = 0, nat = 5, ntyp = 4
/
ATOMIC_SPECIES
C 12.01 C.upf
Sr 87.62 Sr.upf
Zn 65.41 Zn.upf
Ca 40.08 Ca.upf
ATOMIC_POSITIONS crystal
C 0.500 0.500 0.500
Sr 0.000 0.000 0.500
Zn 0.000 0.500 0.000
Zn 0.500 0.000 0.000
Ca 0.000 0.000 0.000
CELL_PARAMETERS angstrom
-2.377 0.670 -4.629
-4.577 -1.407 2.147
-1.294 6.704 1.635
```

Calculated values
VASP energy, eV per atom: -11.97
Calculated volume, Å³ per atom: 38.66
Formation energy from the elements, eV/atom: 1.8480
Theoretical density, g/cm3: 2.3


# CaTe3C

CaTe3C at its PBEsol-relaxed geometry (meta-GGA SCAN, Alexandria). Values from VASP.

```
&SYSTEM
  ibrav = 0, nat = 5, ntyp = 3
/
ATOMIC_SPECIES
Ca 40.08 Ca.upf
Te 127.60 Te.upf
C 12.01 C.upf
ATOMIC_POSITIONS crystal
Ca 0.500 0.500 0.500
Te 0.000 0.500 0.000
Te 0.000 0.000 0.500
Te 0.500 0.000 0.000
C 0.000 0.000 0.000
CELL_PARAMETERS angstrom
-3.992 -0.986 2.584
1.763 -4.403 1.043
2.131 1.796 3.977
```

Calculated values
VASP energy, eV per atom: -26.02
Calculated volume, Å³ per atom: 22.90
Theoretical density, g/cm3: 6.3


# CaTiTe2C

CaTiTe2C at its PBEsol-relaxed geometry (meta-GGA SCAN, Alexandria). Values from VASP.

```
&SYSTEM
  ibrav = 0, nat = 5, ntyp = 4
/
ATOMIC_SPECIES
Ca 40.08 Ca.upf
Te 127.60 Te.upf
C 12.01 C.upf
Ti 47.87 Ti.upf
ATOMIC_POSITIONS crystal
Ca 0.000 0.000 0.000
Te 0.000 0.500 0.000
Te 0.500 0.000 0.000
C 0.500 0.500 0.500
Ti 0.000 0.000 0.500
CELL_PARAMETERS angstrom
5.599 0.000 0.000
0.000 5.599 0.000
0.000 0.000 5.414
```

Calculated values
VASP energy, eV per atom: -20.16
Calculated volume, Å³ per atom: 33.95
Theoretical density, g/cm3: 3.5


# Ca2TiC2

Ca2TiC2 at its PBEsol-relaxed geometry (meta-GGA SCAN, Alexandria). Values from VASP.

```
&SYSTEM
  ibrav = 0, nat = 5, ntyp = 3
/
ATOMIC_SPECIES
Ca 40.08 Ca.upf
C 12.01 C.upf
Ti 47.87 Ti.upf
ATOMIC_POSITIONS crystal
Ca 0.344 0.344 0.688
Ca 0.656 0.656 0.312
C 0.250 0.750 0.500
C 0.750 0.250 0.500
Ti 0.000 0.000 0.000
CELL_PARAMETERS angstrom
-1.971 2.145 -3.339
-3.663 0.451 2.452
4.292 2.422 1.963
```

Calculated values
VASP energy, eV per atom: -9.83
Calculated volume, Å³ per atom: 16.81
Formation energy from the elements, eV/atom: 1.2791
Theoretical density, g/cm3: 3.0


# Ca2ZnC

Ca2ZnC at its PBEsol-relaxed geometry (meta-GGA SCAN, Alexandria). Values from VASP.

```
&SYSTEM
  ibrav = 0, nat = 4, ntyp = 3
/
ATOMIC_SPECIES
C 12.01 C.upf
Zn 65.41 Zn.upf
Ca 40.08 Ca.upf
ATOMIC_POSITIONS crystal
C 0.000 0.000 0.000
Zn 0.500 0.500 0.500
Ca 0.250 0.250 0.250
Ca 0.750 0.750 0.750
CELL_PARAMETERS angstrom
-4.091 2.090 0.984
-1.468 0.313 4.452
-0.047 4.167 2.171
```

Calculated values
VASP energy, eV per atom: -10.28
Calculated volume, Å³ per atom: 18.34
Formation energy from the elements, eV/atom: 0.4507
Theoretical density, g/cm3: 3.6


# CaZr3C

CaZr3C at its PBEsol-relaxed geometry (meta-GGA SCAN, Alexandria). Values from VASP.

```
&SYSTEM
  ibrav = 0, nat = 5, ntyp = 3
/
ATOMIC_SPECIES
Ca 40.08 Ca.upf
C 12.01 C.upf
Zr 91.22 Zr.upf
ATOMIC_POSITIONS crystal
Ca 0.000 0.000 0.000
C 0.500 0.500 0.500
Zr 0.000 0.500 0.000
Zr 0.000 0.000 0.500
Zr 0.500 0.000 0.000
CELL_PARAMETERS angstrom
-0.863 -3.443 3.246
4.689 -1.064 0.117
0.634 3.186 3.547
```

Calculated values
VASP energy, eV per atom: -19.43
Calculated volume, Å³ per atom: 22.26
Formation energy from the elements, eV/atom: 2.9438
Theoretical density, g/cm3: 4.9